# 1
VASP calculation (PBE) on an optimized crystal structure of La2DyHgSe5.

Values from the calculation:
formation energy from raw total energies	-1.559	eV/atom
space-group type	Cmc2_1 (36)

Lattice parameters (Å, degrees): 9.177 9.177 12.854 90.00 90.00 153.76
Fractional coordinates of all 18 atoms:
La (0.119, 0.881, 0.500)
La (0.132, 0.868, 0.124)
La (0.868, 0.132, 0.624)
La (0.881, 0.119, 0.000)
Dy (0.198, 0.802, 0.823)
Dy (0.802, 0.198, 0.323)
Hg (0.459, 0.541, 0.275)
Hg (0.541, 0.459, 0.775)
Se (0.045, 0.955, 0.901)
Se (0.290, 0.710, 0.479)
Se (0.306, 0.694, 0.165)
Se (0.356, 0.644, 0.816)
Se (0.496, 0.504, 0.583)
Se (0.504, 0.496, 0.083)
Se (0.644, 0.356, 0.316)
Se (0.694, 0.306, 0.665)
Se (0.710, 0.290, 0.979)
Se (0.955, 0.045, 0.401)

***

# 2
VASP calculation (PBE) on an optimized crystal structure of Tb4Pr2Er5.

Values from the calculation:
space-group type	Immm (71)
formation enthalpy at 0 K	0.208	eV per atom

Lattice parameters (Å, degrees): 10.963 10.963 10.963 161.66 116.76 66.45
Fractional coordinates of all 11 atoms:
Tb (0.090, 0.090, 0.000)
Tb (0.228, 0.500, 0.728)
Tb (0.772, 0.500, 0.272)
Tb (0.910, 0.910, 0.000)
Pr (0.298, 0.298, 0.000)
Pr (0.702, 0.702, 0.000)
Er (0.030, 0.321, 0.709)
Er (0.388, 0.679, 0.709)
Er (0.500, 0.000, 0.500)
Er (0.612, 0.321, 0.291)
Er (0.970, 0.679, 0.291)

***

# 3
VASP calculation (PBE) on an optimized crystal structure of TcHIrW2.

Values from the calculation:
total DFT energy (no corrections)	-48.63	eV/cell
space-group type	P4/mmm (123)

Lattice parameters (Å, degrees): 4.014 4.014 3.915 90.00 90.00 90.00
Fractional coordinates of all 5 atoms:
Tc (0.000, 0.000, 0.000)
H (0.000, 0.000, 0.500)
Ir (0.500, 0.500, 0.000)
W (0.000, 0.500, 0.500)
W (0.500, 0.000, 0.500)

***

# 4
VASP calculation (PBE) on an optimized crystal structure of La7Ni3.

Values from the calculation:
space-group type	P6_3mc (186)
formation enthalpy at 0 K	-0.232	eV per atom

Lattice parameters (Å, degrees): 10.095 10.095 6.472 90.00 90.00 120.00
Fractional coordinates of all 20 atoms:
La (0.077, 0.538, 0.000)
La (0.126, 0.252, 0.681)
La (0.126, 0.874, 0.681)
La (0.252, 0.126, 0.181)
La (0.333, 0.667, 0.464)
La (0.462, 0.538, 0.000)
La (0.462, 0.923, 0.000)
La (0.538, 0.077, 0.500)
La (0.538, 0.462, 0.500)
La (0.667, 0.333, 0.964)
La (0.748, 0.874, 0.681)
La (0.874, 0.126, 0.181)
La (0.874, 0.748, 0.181)
La (0.923, 0.462, 0.500)
Ni (0.187, 0.375, 0.235)
Ni (0.187, 0.813, 0.235)
Ni (0.375, 0.187, 0.735)
Ni (0.625, 0.813, 0.235)
Ni (0.813, 0.187, 0.735)
Ni (0.813, 0.625, 0.735)

***

# 5
VASP calculation (PBE) on an optimized crystal structure of MgC2Se.

Values from the calculation:
formation energy from raw total energies	2.018	eV/atom
space-group type	Fm-3m (225)

Lattice parameters (Å, degrees): 4.093 4.093 4.093 60.00 60.00 60.00
Fractional coordinates of all 4 atoms:
Mg (0.000, 0.000, 0.000)
C (0.250, 0.250, 0.250)
C (0.750, 0.750, 0.750)
Se (0.500, 0.500, 0.500)

***

# 6
VASP calculation (PBE) on an optimized crystal structure of Ac4Al2H.

Values from the calculation:
total DFT energy (no corrections)	-28.30	eV/cell
space-group type	I4/mmm (139)

Lattice parameters (Å, degrees): 9.573 9.573 9.573 149.50 149.50 43.68
Fractional coordinates of all 7 atoms:
Ac (0.000, 0.500, 0.500)
Ac (0.183, 0.183, 0.000)
Ac (0.500, 0.000, 0.500)
Ac (0.817, 0.817, 0.000)
Al (0.368, 0.368, 0.000)
Al (0.632, 0.632, 0.000)
H (0.000, 0.000, 0.000)

***

# 7
VASP calculation (PBE) on an optimized crystal structure of BaYHf2Pt.

Values from the calculation:
space-group type	P4/mmm (123)
formation enthalpy at 0 K	1.487	eV per atom

Lattice parameters (Å, degrees): 5.323 5.323 5.296 90.00 90.00 90.00
Fractional coordinates of all 5 atoms:
Ba (0.000, 0.000, 0.000)
Y (0.500, 0.500, 0.500)
Hf (0.000, 0.500, 0.000)
Hf (0.500, 0.000, 0.000)
Pt (0.000, 0.000, 0.500)

***

# 8
VASP calculation (PBE) on an optimized crystal structure of GaP2S2.

Values from the calculation:
formation energy from raw total energies	0.952	eV/atom
space-group type	P4/mmm (123)

Lattice parameters (Å, degrees): 4.595 4.595 4.738 90.00 90.00 90.00
Fractional coordinates of all 5 atoms:
Ga (0.000, 0.000, 0.000)
P (0.000, 0.000, 0.500)
P (0.500, 0.500, 0.500)
S (0.000, 0.500, 0.000)
S (0.500, 0.000, 0.000)

***

# 9
VASP calculation (PBE) on an optimized crystal structure of LaPa5Sb6.

Values from the calculation:
formation energy from raw total energies	-0.562	eV/atom
space-group type	C2/m (12)

Lattice parameters (Å, degrees): 7.613 7.613 7.625 99.58 99.58 120.06
Fractional coordinates of all 12 atoms:
La (0.000, 0.000, 0.000)
Pa (0.161, 0.839, 0.500)
Pa (0.332, 0.668, 0.000)
Pa (0.500, 0.500, 0.500)
Pa (0.668, 0.332, 0.000)
Pa (0.839, 0.161, 0.500)
Sb (0.086, 0.427, 0.257)
Sb (0.259, 0.259, 0.751)
Sb (0.427, 0.086, 0.257)
Sb (0.573, 0.914, 0.743)
Sb (0.741, 0.741, 0.249)
Sb (0.914, 0.573, 0.743)

***

# 10
VASP calculation (PBE) on an optimized crystal structure of Pr6CdAg3.

Values from the calculation:
space-group type	P2_1/m (11)
formation enthalpy at 0 K	-0.152	eV per atom

Lattice parameters (Å, degrees): 10.086 5.177 11.215 90.00 98.31 90.00
Fractional coordinates of all 20 atoms:
Pr (0.056, 0.250, 0.403)
Pr (0.137, 0.750, 0.184)
Pr (0.236, 0.250, 0.973)
Pr (0.308, 0.750, 0.778)
Pr (0.371, 0.250, 0.264)
Pr (0.421, 0.250, 0.587)
Pr (0.579, 0.750, 0.413)
Pr (0.629, 0.750, 0.736)
Pr (0.692, 0.250, 0.222)
Pr (0.764, 0.750, 0.027)
Pr (0.863, 0.250, 0.816)
Pr (0.944, 0.750, 0.597)
Cd (0.451, 0.750, 0.086)
Cd (0.549, 0.250, 0.914)
Ag (0.032, 0.750, 0.893)
Ag (0.130, 0.250, 0.687)
Ag (0.264, 0.750, 0.465)
Ag (0.736, 0.250, 0.535)
Ag (0.870, 0.750, 0.313)
Ag (0.968, 0.250, 0.107)

***

# 11
VASP calculation (PBE) on an optimized crystal structure of NdSc2Pa.

Values from the calculation:
space-group type	P4/mmm (123)
formation enthalpy at 0 K	0.210	eV per atom

Lattice parameters (Å, degrees): 4.773 4.773 4.697 90.00 90.00 90.00
Fractional coordinates of all 4 atoms:
Nd (0.000, 0.000, 0.000)
Sc (0.000, 0.500, 0.500)
Sc (0.500, 0.000, 0.500)
Pa (0.500, 0.500, 0.000)

***

# 12
VASP calculation (PBE) on an optimized crystal structure of LiPmSn2Pt2.

Values from the calculation:
space-group type	P-3m1 (164)
formation enthalpy at 0 K	-0.848	eV per atom

Lattice parameters (Å, degrees): 4.649 4.649 6.626 90.00 90.00 120.00
Fractional coordinates of all 6 atoms:
Li (0.000, 0.000, 0.000)
Pm (0.000, 0.000, 0.500)
Sn (0.333, 0.667, 0.804)
Sn (0.667, 0.333, 0.196)
Pt (0.333, 0.667, 0.230)
Pt (0.667, 0.333, 0.770)

***

# 13
VASP calculation (PBE) on an optimized crystal structure of Ac2Zn6Ag9.

Values from the calculation:
space-group type	P6/mmm (191)
formation enthalpy at 0 K	-0.091	eV per atom

Lattice parameters (Å, degrees): 5.753 5.753 13.045 90.00 90.00 120.00
Fractional coordinates of all 17 atoms:
Ac (0.000, 0.000, 0.176)
Ac (0.000, 0.000, 0.824)
Zn (0.333, 0.667, 0.166)
Zn (0.333, 0.667, 0.500)
Zn (0.333, 0.667, 0.834)
Zn (0.667, 0.333, 0.166)
Zn (0.667, 0.333, 0.500)
Zn (0.667, 0.333, 0.834)
Ag (0.000, 0.500, 0.000)
Ag (0.000, 0.500, 0.336)
Ag (0.000, 0.500, 0.664)
Ag (0.500, 0.000, 0.000)
Ag (0.500, 0.000, 0.336)
Ag (0.500, 0.000, 0.664)
Ag (0.500, 0.500, 0.000)
Ag (0.500, 0.500, 0.336)
Ag (0.500, 0.500, 0.664)

***

# 14
VASP calculation (PBE) on an optimized crystal structure of NaNb3As.

Values from the calculation:
space-group type	Pm-3m (221)
formation enthalpy at 0 K	0.835	eV per atom

Lattice parameters (Å, degrees): 4.865 4.865 4.865 90.00 90.00 90.00
Fractional coordinates of all 5 atoms:
Na (0.000, 0.000, 0.000)
Nb (0.000, 0.500, 0.500)
Nb (0.500, 0.000, 0.500)
Nb (0.500, 0.500, 0.000)
As (0.500, 0.500, 0.500)

***

# 15
VASP calculation (PBE) on an optimized crystal structure of Sm3Er2N4.

Values from the calculation:
formation energy from raw total energies	-1.409	eV/atom
space-group type	C2/m (12)

Lattice parameters (Å, degrees): 3.518 3.518 14.703 90.06 90.06 60.01
Fractional coordinates of all 9 atoms:
Sm (0.000, 0.000, 0.000)
Sm (0.334, 0.334, 0.381)
Sm (0.666, 0.666, 0.619)
Er (0.333, 0.333, 0.810)
Er (0.667, 0.667, 0.190)
N (0.001, 0.001, 0.293)
N (0.334, 0.334, 0.104)
N (0.666, 0.666, 0.896)
N (0.999, 0.999, 0.707)

***

# 16
VASP calculation (PBE) on an optimized crystal structure of Ce2Th4Sn3N2.

Values from the calculation:
formation energy from raw total energies	-0.828	eV/atom
space-group type	I4/mmm (139)

Lattice parameters (Å, degrees): 13.526 13.526 13.526 159.38 159.38 29.32
Fractional coordinates of all 11 atoms:
Ce (0.196, 0.196, 0.000)
Ce (0.804, 0.804, 0.000)
Th (0.083, 0.583, 0.500)
Th (0.417, 0.917, 0.500)
Th (0.583, 0.083, 0.500)
Th (0.917, 0.417, 0.500)
Sn (0.324, 0.324, 0.000)
Sn (0.500, 0.500, 0.000)
Sn (0.676, 0.676, 0.000)
N (0.104, 0.104, 0.000)
N (0.896, 0.896, 0.000)

***

# 17
VASP calculation (PBE) on an optimized crystal structure of Pr2Nd3Er.

Values from the calculation:
space-group type	Pnnm (58)
formation enthalpy at 0 K	0.241	eV per atom

Lattice parameters (Å, degrees): 6.853 17.972 3.447 90.00 90.00 90.00
Fractional coordinates of all 12 atoms:
Pr (0.236, 0.151, 0.000)
Pr (0.264, 0.651, 0.500)
Pr (0.736, 0.349, 0.500)
Pr (0.764, 0.849, 0.000)
Nd (0.000, 0.000, 0.500)
Nd (0.243, 0.323, 0.500)
Nd (0.257, 0.823, 0.000)
Nd (0.500, 0.500, 0.000)
Nd (0.743, 0.177, 0.000)
Nd (0.757, 0.677, 0.500)
Er (0.000, 0.500, 0.500)
Er (0.500, 0.000, 0.000)

***

# 18
VASP calculation (PBE) on an optimized crystal structure of Li2RhBr.

Values from the calculation:
formation energy from raw total energies	-0.283	eV/atom
space-group type	C2/m (12)

Lattice parameters (Å, degrees): 4.512 4.512 3.238 90.14 90.14 108.83
Fractional coordinates of all 4 atoms:
Li (0.000, 0.500, 0.000)
Li (0.500, 0.000, 0.000)
Rh (0.000, 0.000, 0.500)
Br (0.500, 0.500, 0.500)

***

# 19
VASP calculation (PBE) on an optimized crystal structure of Y2BeCd.

Values from the calculation:
space-group type	R-3m (166)
formation enthalpy at 0 K	0.099	eV per atom

Lattice parameters (Å, degrees): 9.092 9.092 9.092 23.17 23.17 23.17
Fractional coordinates of all 4 atoms:
Y (0.239, 0.239, 0.239)
Y (0.761, 0.761, 0.761)
Be (0.500, 0.500, 0.500)
Cd (0.000, 0.000, 0.000)

***

# 20
VASP calculation (PBE) on an optimized crystal structure of Pm6SnRu2.

Values from the calculation:
space-group type	Immm (71)
formation enthalpy at 0 K	-0.364	eV per atom

Lattice parameters (Å, degrees): 8.701 8.701 8.701 112.83 111.32 104.39
Fractional coordinates of all 18 atoms:
Pm (0.033, 0.238, 0.795)
Pm (0.182, 0.287, 0.469)
Pm (0.182, 0.713, 0.895)
Pm (0.330, 0.017, 0.687)
Pm (0.330, 0.643, 0.313)
Pm (0.442, 0.238, 0.205)
Pm (0.558, 0.762, 0.795)
Pm (0.670, 0.357, 0.687)
Pm (0.670, 0.983, 0.313)
Pm (0.818, 0.287, 0.105)
Pm (0.818, 0.713, 0.531)
Pm (0.967, 0.762, 0.205)
Sn (0.000, 0.000, 0.000)
Sn (0.500, 0.500, 0.000)
Ru (0.127, 0.627, 0.500)
Ru (0.323, 0.000, 0.323)
Ru (0.677, 0.000, 0.677)
Ru (0.873, 0.373, 0.500)

***

# 21
VASP calculation (PBE) on an optimized crystal structure of ZnTcSe2.

Values from the calculation:
formation energy from raw total energies	-0.011	eV/atom
space-group type	I-42d (122)

Lattice parameters (Å, degrees): 6.847 6.847 6.847 130.20 130.20 73.08
Fractional coordinates of all 8 atoms:
Zn (0.000, 0.000, 0.000)
Zn (0.750, 0.250, 0.500)
Tc (0.250, 0.750, 0.500)
Tc (0.500, 0.500, 0.000)
Se (0.137, 0.625, 0.012)
Se (0.375, 0.387, 0.512)
Se (0.613, 0.125, 0.988)
Se (0.875, 0.863, 0.488)

***

# 22
VASP calculation (PBE) on an optimized crystal structure of MoRuRh2.

Values from the calculation:
space-group type	P4/mmm (123)
formation enthalpy at 0 K	0.207	eV per atom

Lattice parameters (Å, degrees): 3.298 3.298 5.451 90.00 90.00 90.00
Fractional coordinates of all 4 atoms:
Mo (0.000, 0.000, 0.000)
Ru (0.000, 0.000, 0.500)
Rh (0.500, 0.500, 0.251)
Rh (0.500, 0.500, 0.749)

***

# 23
VASP calculation (PBE) on an optimized crystal structure of ZnAg2Os.

Values from the calculation:
space-group type	I-42d (122)
formation enthalpy at 0 K	0.798	eV per atom

Lattice parameters (Å, degrees): 10.186 10.186 10.186 158.86 158.86 30.07
Fractional coordinates of all 8 atoms:
Zn (0.000, 0.000, 0.000)
Zn (0.750, 0.250, 0.500)
Ag (0.125, 0.625, 0.000)
Ag (0.375, 0.375, 0.500)
Ag (0.625, 0.125, 0.000)
Ag (0.875, 0.875, 0.500)
Os (0.250, 0.750, 0.500)
Os (0.500, 0.500, 0.000)